DFT (meta-GGA SCAN) results for AlTlGa2Ge at its PBEsol-relaxed geometry.

Lattice parameters (Å, degrees): 4.8425 4.8425 5.2795 90.00 90.00 90.00
Closest atoms and distances in Å follow each position.
Atoms (fractional coordinates):
1 Al 0.0000 0.0000 0.0000  4 Ga 2.42, 2 Tl 2.64
2 Tl 0.0000 0.0000 0.5000  2 Al 2.64
3 Ga 0.0000 0.5000 0.0000  2 Al 2.42
4 Ga 0.5000 0.0000 0.0000  2 Al 2.42
5 Ge 0.5000 0.5000 0.5000  4 Tl 3.42, 8 Ga 3.58

## Properties
- Density of states at the Fermi level: 3.159 states/eV per cell
- Calculated formation energy: 0.61 eV/atom
- V: 24.761 Å³ per atom
- Space-group type: No. 123


DFT (meta-GGA SCAN) results for AlGa3H at its PBEsol-relaxed geometry.

Lattice parameters (Å, degrees): 4.1908 4.1908 4.1908 90.00 90.00 90.00
Closest atoms and distances in Å follow each position.
Atoms (fractional coordinates):
1 Al 0.0000 0.0000 0.0000  12 Ga 2.96
2 Ga 0.0000 0.5000 0.5000  2 H 2.10
3 Ga 0.5000 0.0000 0.5000  2 H 2.10
4 Ga 0.5000 0.5000 0.0000  2 H 2.10
5 H 0.5000 0.5000 0.5000  6 Ga 2.10

## Properties
- Density of states at the Fermi level: 1.320 states/eV per cell
- V: 14.721 Å³ per atom
- Space-group type: No. 221
- Uncorrected energy: -58.71 eV for the cell shown


DFT (meta-GGA SCAN) results for HfAlGa3 at its PBEsol-relaxed geometry.

Lattice parameters (Å, degrees): 4.6936 4.6936 4.6936 90.00 90.00 90.00
Closest atoms and distances in Å follow each position.
Atoms (fractional coordinates):
1 Hf 0.0000 0.0000 0.0000  12 Ga 3.32
2 Al 0.5000 0.5000 0.5000  6 Ga 2.35
3 Ga 0.0000 0.5000 0.5000  2 Al 2.35
4 Ga 0.5000 0.0000 0.5000  2 Al 2.35
5 Ga 0.5000 0.5000 0.0000  2 Al 2.35

## Properties
- Density of states at the Fermi level: 2.358 states/eV per cell
- Calculated formation energy: 0.63 eV/atom
- V: 20.680 Å³ per atom
- Space-group type: No. 221


DFT (meta-GGA SCAN) results for Al2Ga2Hg at its PBEsol-relaxed geometry.

Lattice parameters (Å, degrees): 8.2041 8.2041 2.7691 90.00 90.00 90.00
Closest atoms and distances in Å follow each position.
Atoms (fractional coordinates):
1 Al 0.1401 0.3599 0.0000  6 Ga 2.73-2.80, 2 Al 2.77
2 Al 0.3599 0.8599 0.0000  6 Ga 2.73-2.80, 2 Al 2.77
3 Al 0.6401 0.1401 0.0000  6 Ga 2.73-2.80, 2 Al 2.77
4 Al 0.8599 0.6401 0.0000  6 Ga 2.73-2.80, 2 Al 2.77
5 Ga 0.1567 0.6567 0.5000  6 Al 2.73-2.80, 2 Ga 2.77
6 Ga 0.3433 0.1567 0.5000  6 Al 2.73-2.80, 2 Ga 2.77
7 Ga 0.6567 0.8433 0.5000  6 Al 2.73-2.80, 2 Ga 2.77
8 Ga 0.8433 0.3433 0.5000  6 Al 2.73-2.80, 2 Ga 2.77
9 Hg 0.0000 0.0000 0.5000  2 Hg 2.77, 4 Ga 3.10
10 Hg 0.5000 0.5000 0.5000  2 Hg 2.77, 4 Ga 3.10

## Properties
- Density of states at the Fermi level: 2.827 states/eV per cell
- Calculated formation energy: 0.10 eV/atom
- V: 18.638 Å³ per atom
- Space-group type: No. 127


DFT (meta-GGA SCAN) results for Al2Ga2Hg at its PBEsol-relaxed geometry.

Lattice parameters (Å, degrees): 4.1385 4.1385 11.3000 90.00 90.00 90.00
Closest atoms and distances in Å follow each position.
Atoms (fractional coordinates):
1 Al 0.0000 0.5000 0.2500  4 Ga 2.63, 4 Al 2.93
2 Al 0.0000 0.5000 0.7500  4 Ga 2.63, 4 Al 2.93
3 Al 0.5000 0.0000 0.2500  4 Ga 2.63, 4 Al 2.93
4 Al 0.5000 0.0000 0.7500  4 Ga 2.63, 4 Al 2.93
5 Ga 0.0000 0.0000 0.1070  1 Ga 2.42, 4 Al 2.63
6 Ga 0.0000 0.0000 0.8930  1 Ga 2.42, 4 Al 2.63
7 Ga 0.5000 0.5000 0.3930  1 Ga 2.42, 4 Al 2.63
8 Ga 0.5000 0.5000 0.6070  1 Ga 2.42, 4 Al 2.63
9 Hg 0.0000 0.0000 0.5000  8 Ga 3.17, 8 Al 3.50
10 Hg 0.5000 0.5000 0.0000  8 Ga 3.17, 8 Al 3.50

## Properties
- Density of states at the Fermi level: 2.535 states/eV per cell
- Calculated formation energy: 0.12 eV/atom
- V: 19.353 Å³ per atom
- Space-group type: No. 139


DFT (meta-GGA SCAN) results for AlGa2Hg at its PBEsol-relaxed geometry.

Lattice parameters (Å, degrees): 6.7448 6.7448 6.7448 90.00 90.00 90.00
Closest atoms and distances in Å follow each position.
Atoms (fractional coordinates):
1 Al 0.0000 0.0000 0.0000  8 Ga 2.92
2 Al 0.0000 0.5000 0.5000  8 Ga 2.92
3 Al 0.5000 0.0000 0.5000  8 Ga 2.92
4 Al 0.5000 0.5000 0.0000  8 Ga 2.92
5 Ga 0.2500 0.2500 0.2500  4 Hg 2.92, 4 Al 2.92
6 Ga 0.2500 0.2500 0.7500  4 Hg 2.92, 4 Al 2.92
7 Ga 0.2500 0.7500 0.2500  4 Hg 2.92, 4 Al 2.92
8 Ga 0.2500 0.7500 0.7500  4 Hg 2.92, 4 Al 2.92
9 Ga 0.7500 0.2500 0.2500  4 Hg 2.92, 4 Al 2.92
10 Ga 0.7500 0.2500 0.7500  4 Hg 2.92, 4 Al 2.92
11 Ga 0.7500 0.7500 0.2500  4 Hg 2.92, 4 Al 2.92
12 Ga 0.7500 0.7500 0.7500  4 Hg 2.92, 4 Al 2.92
13 Hg 0.0000 0.0000 0.5000  8 Ga 2.92
14 Hg 0.0000 0.5000 0.0000  8 Ga 2.92
15 Hg 0.5000 0.0000 0.0000  8 Ga 2.92
16 Hg 0.5000 0.5000 0.5000  8 Ga 2.92

## Properties
- Density of states at the Fermi level: 4.994 states/eV per cell
- Calculated formation energy: 0.24 eV/atom
- V: 19.177 Å³ per atom
- Space-group type: No. 225


DFT (meta-GGA SCAN) results for AlGaHg2 at its PBEsol-relaxed geometry.

Lattice parameters (Å, degrees): 6.8960 6.8960 6.8960 90.00 90.00 90.00
Closest atoms and distances in Å follow each position.
Atoms (fractional coordinates):
1 Al 0.0000 0.0000 0.0000  8 Hg 2.99
2 Al 0.0000 0.5000 0.5000  8 Hg 2.99
3 Al 0.5000 0.0000 0.5000  8 Hg 2.99
4 Al 0.5000 0.5000 0.0000  8 Hg 2.99
5 Ga 0.0000 0.0000 0.5000  8 Hg 2.99
6 Ga 0.0000 0.5000 0.0000  8 Hg 2.99
7 Ga 0.5000 0.0000 0.0000  8 Hg 2.99
8 Ga 0.5000 0.5000 0.5000  8 Hg 2.99
9 Hg 0.2500 0.2500 0.2500  4 Al 2.99, 4 Ga 2.99
10 Hg 0.2500 0.2500 0.7500  4 Al 2.99, 4 Ga 2.99
11 Hg 0.2500 0.7500 0.2500  4 Al 2.99, 4 Ga 2.99
12 Hg 0.2500 0.7500 0.7500  4 Al 2.99, 4 Ga 2.99
13 Hg 0.7500 0.2500 0.2500  4 Al 2.99, 4 Ga 2.99
14 Hg 0.7500 0.2500 0.7500  4 Al 2.99, 4 Ga 2.99
15 Hg 0.7500 0.7500 0.2500  4 Al 2.99, 4 Ga 2.99
16 Hg 0.7500 0.7500 0.7500  4 Al 2.99, 4 Ga 2.99

## Properties
- Density of states at the Fermi level: 6.541 states/eV per cell
- Calculated formation energy: 0.21 eV/atom
- V: 20.496 Å³ per atom
- Space-group type: No. 225


DFT (meta-GGA SCAN) results for AlGa3I at its PBEsol-relaxed geometry.

Lattice parameters (Å, degrees): 5.7066 5.7066 5.7066 90.00 90.00 90.00
Closest atoms and distances in Å follow each position.
Atoms (fractional coordinates):
1 Al 0.0000 0.0000 0.0000  12 Ga 4.04
2 Ga 0.0000 0.5000 0.5000  2 I 2.85
3 Ga 0.5000 0.0000 0.5000  2 I 2.85
4 Ga 0.5000 0.5000 0.0000  2 I 2.85
5 I 0.5000 0.5000 0.5000  6 Ga 2.85

## Properties
- Formation energy from raw total energies: 5.3 eV per formula unit
- Density of states at the Fermi level: 3.218 states/eV per cell
- V: 37.167 Å³ per atom
- Space-group type: No. 221


DFT (meta-GGA SCAN) results for AlGaIN2 at its PBEsol-relaxed geometry.

Lattice parameters (Å, degrees): 3.8759 3.8759 5.8302 90.00 90.00 90.00
Closest atoms and distances in Å follow each position.
Atoms (fractional coordinates):
1 Al 0.0000 0.0000 0.0000  4 I 2.74
2 Ga 0.5000 0.5000 0.5000  4 N 1.94
3 I 0.5000 0.5000 0.0000  4 Al 2.74, 2 Ga 2.92
4 N 0.0000 0.5000 0.5000  2 Ga 1.94
5 N 0.5000 0.0000 0.5000  2 Ga 1.94

## Properties
- Formation energy from raw total energies: 6.3 eV per formula unit
- Density of states at the Fermi level: 2.309 states/eV per cell
- V: 17.517 Å³ per atom
- Space-group type: No. 123


DFT (meta-GGA SCAN) results for AlGaTeI2 at its PBEsol-relaxed geometry.

Lattice parameters (Å, degrees): 5.5293 5.5293 5.3830 90.00 90.00 90.00
Closest atoms and distances in Å follow each position.
Atoms (fractional coordinates):
1 Al 0.0000 0.0000 0.0000  8 I 3.86, 4 Te 3.91
2 Ga 0.5000 0.5000 0.5000  2 Te 2.69, 4 I 2.76
3 Te 0.5000 0.5000 0.0000  2 Ga 2.69
4 I 0.0000 0.5000 0.5000  2 Ga 2.76
5 I 0.5000 0.0000 0.5000  2 Ga 2.76

## Properties
- Formation energy from raw total energies: 1.1 eV per formula unit
- Density of states at the Fermi level: 2.368 states/eV per cell
- V: 32.915 Å³ per atom
- Space-group type: No. 123


DFT (meta-GGA SCAN) results for AlInGa2 at its PBEsol-relaxed geometry.

Lattice parameters (Å, degrees): 6.7865 6.7865 6.7865 90.00 90.00 90.00
Closest atoms and distances in Å follow each position.
Atoms (fractional coordinates):
1 Al 0.0000 0.0000 0.0000  8 Ga 2.94
2 Al 0.0000 0.5000 0.5000  8 Ga 2.94
3 Al 0.5000 0.0000 0.5000  8 Ga 2.94
4 Al 0.5000 0.5000 0.0000  8 Ga 2.94
5 In 0.0000 0.0000 0.5000  8 Ga 2.94
6 In 0.0000 0.5000 0.0000  8 Ga 2.94
7 In 0.5000 0.0000 0.0000  8 Ga 2.94
8 In 0.5000 0.5000 0.5000  8 Ga 2.94
9 Ga 0.2500 0.2500 0.2500  4 In 2.94, 4 Al 2.94
10 Ga 0.2500 0.2500 0.7500  4 In 2.94, 4 Al 2.94
11 Ga 0.2500 0.7500 0.2500  4 In 2.94, 4 Al 2.94
12 Ga 0.2500 0.7500 0.7500  4 In 2.94, 4 Al 2.94
13 Ga 0.7500 0.2500 0.2500  4 In 2.94, 4 Al 2.94
14 Ga 0.7500 0.2500 0.7500  4 In 2.94, 4 Al 2.94
15 Ga 0.7500 0.7500 0.2500  4 In 2.94, 4 Al 2.94
16 Ga 0.7500 0.7500 0.7500  4 Al 2.94, 4 In 2.94

## Properties
- Density of states at the Fermi level: 5.918 states/eV per cell
- Calculated formation energy: 0.18 eV/atom
- V: 19.535 Å³ per atom
- Space-group type: No. 225


DFT (meta-GGA SCAN) results for AlIn2Ga at its PBEsol-relaxed geometry.

Lattice parameters (Å, degrees): 7.0146 7.0146 7.0146 90.00 90.00 90.00
Closest atoms and distances in Å follow each position.
Atoms (fractional coordinates):
1 Al 0.0000 0.0000 0.0000  8 In 3.04
2 Al 0.0000 0.5000 0.5000  8 In 3.04
3 Al 0.5000 0.0000 0.5000  8 In 3.04
4 Al 0.5000 0.5000 0.0000  8 In 3.04
5 In 0.2500 0.2500 0.2500  4 Al 3.04, 4 Ga 3.04
6 In 0.2500 0.2500 0.7500  4 Al 3.04, 4 Ga 3.04
7 In 0.2500 0.7500 0.2500  4 Al 3.04, 4 Ga 3.04
8 In 0.2500 0.7500 0.7500  4 Al 3.04, 4 Ga 3.04
9 In 0.7500 0.2500 0.2500  4 Al 3.04, 4 Ga 3.04
10 In 0.7500 0.2500 0.7500  4 Al 3.04, 4 Ga 3.04
11 In 0.7500 0.7500 0.2500  4 Al 3.04, 4 Ga 3.04
12 In 0.7500 0.7500 0.7500  4 Al 3.04, 4 Ga 3.04
13 Ga 0.0000 0.0000 0.5000  8 In 3.04
14 Ga 0.0000 0.5000 0.0000  8 In 3.04
15 Ga 0.5000 0.0000 0.0000  8 In 3.04
16 Ga 0.5000 0.5000 0.5000  8 In 3.04

## Properties
- Density of states at the Fermi level: 5.802 states/eV per cell
- Calculated formation energy: 0.19 eV/atom
- V: 21.572 Å³ per atom
- Space-group type: No. 225